No. 1
{"formula": "Cs2Tm2BiO6", "functional": "PBE", "state": "optimized geometry", "energy_ev_per_atom": -6.29, "lattice_angstrom": [[3.007, -5.207, 0.000], [3.007, 5.207, 0.000], [-1.993, 0.000, 7.044]], "species": ["Cs", "Cs", "Tm", "Tm", "Bi", "O", "O", "O", "O", "O", "O"], "fractional_positions": [[0.167, 0.833, 0.000], [0.833, 0.167, 0.000], [0.334, 0.666, 0.500], [0.666, 0.334, 0.500], [0.000, 0.000, 0.500], [0.049, 0.391, 0.658], [0.282, 0.282, 0.342], [0.391, 0.049, 0.658], [0.609, 0.951, 0.342], [0.718, 0.718, 0.658], [0.951, 0.609, 0.342]]}


No. 2
{"formula": "Cs3TmBi2O8", "functional": "PBE", "state": "optimized geometry", "energy_ev_per_atom": -5.41, "lattice_angstrom": [[6.445, 0.000, 0.000], [-3.223, 5.582, 0.000], [0.000, 0.000, 8.561]], "species": ["Cs", "Cs", "Cs", "Tm", "Bi", "Bi", "O", "O", "O", "O", "O", "O", "O", "O"], "fractional_positions": [[0.000, 0.000, 0.000], [0.333, 0.667, 0.702], [0.667, 0.333, 0.298], [0.000, 0.000, 0.500], [0.333, 0.667, 0.261], [0.667, 0.333, 0.739], [0.161, 0.323, 0.345], [0.161, 0.839, 0.345], [0.323, 0.161, 0.655], [0.333, 0.667, 0.028], [0.667, 0.333, 0.972], [0.677, 0.839, 0.345], [0.839, 0.161, 0.655], [0.839, 0.677, 0.655]]}


no.,formation energy from raw total energies (meV per atom)
1,-2269
2,-1524